A relaxed TaTcSe4 crystal, computed with PBE-GGA.

Results
Density = 8.55 g cm⁻³
Formation energy from raw total energies = 29.26 kcal/mol of atoms
M_tot = 1.4 μB per cell
VASP energy = -4.757 eV/atom

Geometry as POSCAR:
```
TaTcSe4
1.0
0.000 3.866 3.866
3.866 0.000 3.866
3.866 3.866 0.000
Ta Tc Se
1 1 4
Direct
0.750 0.750 0.750
0.000 0.000 0.000
0.875 0.375 0.375
0.375 0.375 0.875
0.375 0.875 0.375
0.375 0.375 0.375
```